Entry 1:
Below is USbS after structural relaxation, with properties calculated at the PBE level.

```
6
Lattice="-2.0326 2.0326 8.4473 2.0326 -2.0326 8.4473 2.0326 2.0326 -8.4473" Properties=species:S:1:pos:R:3 pbc="T T T"
U 0.0000 0.0000 2.6407
U 0.0000 0.0000 14.2540
Sb 2.0326 0.0000 0.0000
Sb 0.0000 2.0326 0.0000
S 0.0000 0.0000 5.3580
S 0.0000 0.0000 11.5367
```

Results
Electronic total energy   -44.28 eV for the cell shown
Formation energy without anion corrections   -867 meV/atom
Total magnetic moment   5.3 Bohr magnetons per cell

Entry 2:
Below is USbS after structural relaxation, with properties calculated at the PBE level.

```
3
Lattice="4.4977 0.0000 0.0000 -2.2489 3.8951 0.0000 0.0000 0.0000 4.1162" Properties=species:S:1:pos:R:3 pbc="T T T"
U 0.0000 0.0000 0.0000
Sb 2.2489 1.2984 2.0581
S 0.0000 2.5968 0.0000
```

Results
Electronic total energy   -21.39 eV for the cell shown
Formation energy without anion corrections   -616 meV/atom
Total magnetic moment   1.3 Bohr magnetons per cell

Entry 3:
Below is USbS after structural relaxation, with properties calculated at the PBE level.

```
6
Lattice="4.0709 0.0000 0.0000 0.0000 4.0709 0.0000 0.0000 0.0000 8.3886" Properties=species:S:1:pos:R:3 pbc="T T T"
U 1.0177 1.0177 1.6041
U 3.0531 3.0531 6.7844
Sb 1.0177 3.0531 4.1943
Sb 3.0531 1.0177 4.1943
S 1.0177 1.0177 7.2578
S 3.0531 3.0531 1.1308
```

Results
Electronic total energy   -44.49 eV for the cell shown
Formation energy without anion corrections   -903 meV/atom
Total magnetic moment   5.3 Bohr magnetons per cell

Entry 4:
Below is V2SbS2 after structural relaxation, with properties calculated at the PBE level.

```
5
Lattice="-1.9394 1.9394 5.5623 1.9394 -1.9394 5.5623 1.9394 1.9394 -5.5623" Properties=species:S:1:pos:R:3 pbc="T T T"
V 0.0000 0.0000 1.4000
V 0.0000 0.0000 9.7245
Sb 0.0000 0.0000 5.5623
S 1.9394 0.0000 2.7811
S 0.0000 1.9394 2.7811
```

Results
Electronic total energy   -31.75 eV for the cell shown
Formation energy without anion corrections   -226 meV/atom
Total magnetic moment   0.0 Bohr magnetons per cell

Entry 5:
Below is VSbS2 after structural relaxation, with properties calculated at the PBE level.

```
4
Lattice="1.6504 0.9529 8.3297 -1.6504 0.9529 8.3297 0.0000 -1.9057 8.3297" Properties=species:S:1:pos:R:3 pbc="T T T"
V 0.0000 0.0000 0.0000
Sb 0.0000 0.0000 12.4945
S 0.0000 0.0000 9.7478
S 0.0000 0.0000 15.2412
```

Results
Electronic total energy   -23.67 eV for the cell shown
Formation energy without anion corrections   -545 meV/atom
Total magnetic moment   0.0 Bohr magnetons per cell

Entry 6:
Below is V2SbS6 after structural relaxation, with properties calculated at the PBE level.

```
27
Lattice="10.5193 0.0000 0.0000 -5.2597 9.1100 0.0000 0.0000 0.0000 6.1137" Properties=species:S:1:pos:R:3 pbc="T T T"
V -1.8848 3.2645 0.0000
V -3.3749 5.8455 0.0000
V 3.7696 0.0000 0.0000
V 1.8848 3.2645 0.0000
V 6.7498 0.0000 0.0000
V 3.3749 5.8455 0.0000
Sb 0.0000 0.0000 0.0000
Sb 0.0000 6.0733 2.6725
Sb 5.2597 3.0367 3.4411
S -2.0213 4.9063 4.5700
S 0.0000 2.2993 4.8850
S -3.2684 7.9603 4.8850
S 0.0000 3.9137 1.2910
S -1.8703 7.1531 1.2910
S 1.9913 1.1497 1.2287
S 3.3894 1.9569 4.8227
S 2.0213 4.9063 4.5700
S 0.0000 8.4073 4.5700
S 5.2597 0.7027 1.5437
S 3.2384 4.2037 1.5437
S 1.8703 7.1531 1.2910
S 3.2684 7.9603 4.8850
S 7.1299 1.9569 4.8227
S 5.2597 5.1963 4.8227
S 8.5281 1.1497 1.2287
S 5.2597 6.8107 1.2287
S 7.2810 4.2037 1.5437
```

Results
Electronic total energy   -156.07 eV for the cell shown
Formation energy without anion corrections   -544 meV/atom
Total magnetic moment   3.5 Bohr magnetons per cell

So what do the calculations give for calculated density? Going down the list: 9.32, 9.02, 9.36, 5.71, 5.00, 3.54 g cm⁻³.